The following is a GGA-PBE calculation of a relaxed structure of TlSi2P, from the Alexandria database.

Cell: 4.769 4.769 4.769 Å, 60.00 60.00 60.00°
Positions (direct):
P  0.500  0.500  0.500
Si  0.000  0.000  0.000
Si  0.750  0.750  0.750
Tl  0.250  0.250  0.250

Formation energy (no corrections), meV/atom: 774
Polymorph energy (0 for the lowest one), eV/atom: 0.515

=====

The following is a GGA-PBE calculation of a relaxed structure of TlSi2P, from the Alexandria database.

Cell: 3.310 3.310 8.596 Å, 90.00 90.00 119.15°
Positions (direct):
P  0.500  0.500  0.750
Si  0.000  0.000  0.944
Si  0.000  0.000  0.556
Tl  0.500  0.500  0.250

Formation energy (no corrections), meV/atom: 531
Polymorph energy (0 for the lowest one), eV/atom: 0.272

=====

The following is a GGA-PBE calculation of a relaxed structure of Tl2SiP, from the Alexandria database.

Cell: 5.071 5.071 5.071 Å, 60.00 60.00 60.00°
Positions (direct):
P  0.500  0.500  0.500
Tl  0.250  0.250  0.250
Tl  0.750  0.750  0.750
Si  0.000  0.000  0.000

Formation energy (no corrections), meV/atom: 651
Polymorph energy (0 for the lowest one), eV/atom: 0.618

=====

The following is a GGA-PBE calculation of a relaxed structure of TlSiP2, from the Alexandria database.

Cell: 5.125 5.125 2.928 Å, 90.00 90.00 90.00°
Positions (direct):
P  0.000  0.000  0.000
P  0.500  0.500  0.000
Si  0.500  0.000  0.500
Tl  0.000  0.500  0.500

Formation energy (no corrections), meV/atom: 760
Polymorph energy (0 for the lowest one), eV/atom: 0.676

=====

The following is a GGA-PBE calculation of a relaxed structure of TlSi2P, from the Alexandria database.

Cell: 4.656 4.656 3.597 Å, 90.00 90.00 80.07°
Positions (direct):
P  0.000  0.500  0.500
Si  0.000  0.000  0.000
Si  0.500  0.500  0.000
Tl  0.500  0.000  0.500

Formation energy (no corrections), meV/atom: 759
Polymorph energy (0 for the lowest one), eV/atom: 0.500

=====

The following is a GGA-PBE calculation of a relaxed structure of Tl2SiP, from the Alexandria database.

Cell: 9.213 9.213 9.213 Å, 22.19 22.19 22.19°
Positions (direct):
P  0.478  0.478  0.478
Si  0.770  0.770  0.770
Tl  0.012  0.012  0.012
Tl  0.240  0.240  0.240

Formation energy (no corrections), meV/atom: 33
Polymorph energy (0 for the lowest one), eV/atom: 0.000